# TaAgMoO6

Crystalline TaAgMoO6 at its relaxed geometry (PBE+U, Alexandria).

Output
Total moment: 0.0 μB per formula unit
Final energy: -7.4787 eV/atom
SG: P-31c, No. 163

POSCAR file:
```
TaAgMoO6
1.0
-2.662 -3.195 -3.263
1.644 -1.791 4.694
-8.818 3.016 4.240
Ta Ag Mo O
2 2 2 12
Direct
0.667 0.333 0.250
0.333 0.667 0.750
0.000 0.000 0.000
0.000 0.000 0.500
0.333 0.667 0.250
0.667 0.333 0.750
0.617 0.624 0.144
0.007 0.383 0.144
0.383 0.007 0.644
0.993 0.617 0.856
0.376 0.383 0.356
0.007 0.624 0.356
0.624 0.007 0.856
0.617 0.993 0.356
0.993 0.376 0.644
0.376 0.993 0.144
0.624 0.617 0.644
0.383 0.376 0.856
```